Material: KTl2In
Method: DFT, GGA-PBE
State: relaxed

```
KTl2In
1.0
5.1648 -1.7264 0.0000
5.1648 1.7264 0.0000
-1.0081 0.0000 7.4738
K Tl In
1 2 1
direct
0.0000 0.0000 0.0000
0.2432 0.2432 0.7062
0.7568 0.7568 0.2938
0.5000 0.5000 0.5000
```

Output
total moment = 0.0 μB/cell
energy of formation = -0.06 eV per atom
calculated volume = 133.3 Å³ per cell
space-group type = C2/m, No. 12

=====

Material: Ti3Re4W2
Method: DFT, GGA-PBE
State: relaxed

```
Ti3Re4W2
1.0
4.4144 0.0000 0.0000
-2.2072 3.8230 0.0000
0.0000 0.0000 8.2084
Ti Re W
3 4 2
direct
0.0000 0.0000 0.0000
0.3333 0.6667 0.4375
0.6667 0.3333 0.5625
0.0000 0.0000 0.3354
0.0000 0.0000 0.6646
0.3333 0.6667 0.1106
0.6667 0.3333 0.8894
0.3333 0.6667 0.7806
0.6667 0.3333 0.2194
```

Output
total moment = 0.0 μB/cell
energy of formation = -0.34 eV per atom
calculated volume = 138.5 Å³ per cell
space-group type = P-3m1, No. 164

=====

Material: AlTcSbRu
Method: DFT, GGA-PBE
State: relaxed

```
AlTcSbRu
1.0
0.0000 3.1355 3.1355
3.1355 0.0000 3.1355
3.1355 3.1355 0.0000
Al Tc Sb Ru
1 1 1 1
direct
0.0000 0.0000 0.0000
0.7500 0.7500 0.7500
0.5000 0.5000 0.5000
0.2500 0.2500 0.2500
```

Output
E_form (uncorrected) = -0.2269 eV/atom
total moment = 0.0 μB/cell
calculated volume = 61.7 Å³ per cell
space-group type = F-43m, No. 216

=====

Per-record calculated density, Mg/m³: 7.0; 15.1; 9.4